Record 1
VASP calculation (PBE-GGA) on a relaxed structure of PmHfZnNi.

Summary:
V: 315.6 Å³/cell
Electronic total energy: -5.566 eV/atom
Spin magnetization: 0.00 μB per cell

Cell lengths 6.808, 6.808, 6.808 Å; angles 90.00, 90.00, 90.00 degrees
Space group F-43m (No. 216)
Unique sites:
Pm1 0.000 0.000 0.000 (multiplicity 4)
Hf1 0.000 0.000 0.500 (multiplicity 4)
Zn1 0.250 0.250 0.750 (multiplicity 4)
Ni1 0.250 0.250 0.250 (multiplicity 4)


Record 2
VASP calculation (PBE-GGA) on a relaxed structure of ErTmTh.

Summary:
V: 773.2 Å³/cell
Electronic total energy: -5.209 eV/atom
Spin magnetization: 0.00 μB per cell

Cell lengths 6.821, 10.627, 10.667 Å; angles 90.00, 90.00, 90.00 degrees
Space group Fmmm (No. 69)
Unique sites:
Er1 0.000 0.159 0.000 (multiplicity 8)
Tm1 0.000 0.000 0.342 (multiplicity 8)
Th1 0.250 0.250 0.250 (multiplicity 8)


Record 3
VASP calculation (PBE-GGA) on a relaxed structure of ErUTcC3.

Summary:
V: 191.6 Å³/cell
Electronic total energy: -8.949 eV/atom
Spin magnetization: 0.00 μB per cell

Cell lengths 6.973, 3.578, 7.685 Å; angles 90.00, 91.94, 90.00 degrees
Space group P2_1/m (No. 11)
Unique sites:
Er1 0.142 0.250 0.159 (multiplicity 2)
U1 0.374 0.750 0.830 (multiplicity 2)
Tc1 0.106 0.250 0.590 (multiplicity 2)
C1 0.139 0.250 0.850 (multiplicity 2)
C2 0.178 0.750 0.509 (multiplicity 2)
C3 0.410 0.750 0.121 (multiplicity 2)


Record 4
VASP calculation (PBE-GGA) on a relaxed structure of Al2PtAu2.

Summary:
V: 164.7 Å³/cell
Electronic total energy: -4.341 eV/atom
Spin magnetization: 0.00 μB per cell

Cell lengths 7.331, 7.331, 3.064 Å; angles 90.00, 90.00, 90.00 degrees
Space group P4/mbm (No. 127)
Unique sites:
Al1 0.167 0.333 0.000 (multiplicity 4)
Pt1 0.000 0.000 0.500 (multiplicity 2)
Au1 0.136 0.636 0.500 (multiplicity 4)